## TePdO4 (PBE)

Data for crystalline TePdO4 at its relaxed geometry.

Lattice parameters (Å, degrees): 5.814 4.882 5.841 90.00 113.47 90.00
Space group P2_1/c (No. 14)
Unique sites:
Te: 0.000 0.000 0.000 [2 per cell]
Pd: 0.500 0.000 0.500 [2 per cell]
O: 0.149 0.201 0.344 [4 per cell]
O: 0.337 0.692 0.650 [4 per cell]

Values from the calculation:
- D(E_F) (states/eV per atom) = 0.335
- E_form (uncorrected) (kJ/mol of formula units) = -375
- spin magnetization (μB/f.u.) = 0.00



## GdTmRh4 (PBE)

Data for crystalline GdTmRh4 at its relaxed geometry.

Lattice parameters (Å, degrees): 7.540 7.540 7.540 90.00 90.00 90.00
Space group F-43m (No. 216)
Unique sites:
Gd: 0.000 0.000 0.000 [4 per cell]
Tm: 0.250 0.250 0.750 [4 per cell]
Rh: 0.125 0.125 0.375 [16 per cell]

Values from the calculation:
- D(E_F) (states/eV per atom) = 0.726
- spin magnetization (μB/f.u.) = 7.06
- formation energy from the elements (eV/atom) = -0.738



## CsLa3F (PBE)

Data for crystalline CsLa3F at its relaxed geometry.

Lattice parameters (Å, degrees): 5.960 5.960 5.960 90.00 90.00 90.00
Space group Pm-3m (No. 221)
Unique sites:
Cs: 0.000 0.000 0.000 [1 per cell]
La: 0.000 0.000 0.500 [3 per cell]
F: 0.500 0.500 0.500 [1 per cell]

Values from the calculation:
- D(E_F) (states/eV per atom) = 1.503
- E_form (uncorrected) (kJ/mol of formula units) = 358
- relative energy among the computed polymorphs (kJ/mol of atoms) = 125.3
- spin magnetization (μB/f.u.) = 0.01



## EuHoErMg (PBE)

Data for crystalline EuHoErMg at its relaxed geometry.

Lattice parameters (Å, degrees): 7.856 7.856 7.856 90.00 90.00 90.00
Space group F-43m (No. 216)
Unique sites:
Eu: 0.000 0.000 0.000 [4 per cell]
Ho: 0.250 0.250 0.750 [4 per cell]
Er: 0.250 0.250 0.250 [4 per cell]
Mg: 0.000 0.000 0.500 [4 per cell]

Values from the calculation:
- D(E_F) (states/eV per atom) = 0.733
- spin magnetization (μB/f.u.) = 7.06
- formation energy from the elements (eV/atom) = 0.091



What is the formula in the first record? TePdO4